Computed, not measured: crystalline Cs5O2 at its relaxed geometry at the GGA-PBE level of DFT.

abc: 7.8993 7.9979 12.4888
angles: 71.57 108.44 90.00
Positions (direct):
Cs 0.1863 0.3380 0.1314
Cs 0.0549 0.1620 0.8686
Cs 0.1325 0.6668 0.6681
Cs 0.4644 0.8332 0.3319
Cs 0.8675 0.3332 0.3319
Cs 0.5356 0.1668 0.6681
Cs 0.9451 0.8380 0.1314
Cs 0.8137 0.6620 0.8686
Cs 0.5522 0.2500 0.0000
Cs 0.4478 0.7500 0.0000
O 0.1808 0.5165 0.8944
O 0.2864 0.9835 0.1056
O 0.8192 0.4835 0.1056
O 0.7136 0.0165 0.8944

SG = No. 15
uncorrected formation energy = -831.9 meV per atom
calculated density = 3.28 g/cm³
D(E_F) = 0.20 states/eV/atom
magnetization = 0.0000 μB per atom